(1)
## Li3Hg2Pd6 (PBE)

Data for Li3Hg2Pd6 after structural relaxation.

Lattice parameters (Å, degrees): 4.7956 6.3097 6.4597 107.75 105.00 97.80
Space group P-1 (No. 2)
Unique sites:
Li  0.0000  0.0000  0.0000
Li  0.1044  0.8219  0.3618
Hg  0.1918  0.6464  0.7398
Pd  0.2686  0.4527  0.0887
Pd  0.3550  0.2665  0.4531
Pd  0.4434  0.0920  0.8048

(2)
## Li2Hg3Pd2 (PBE)

Data for Li2Hg3Pd2 after structural relaxation.

## Properties
energy relative to the lowest polymorph listed for this composition	0.05	eV/f.u.

Lattice parameters (Å, degrees): 4.3510 8.6017 7.1592 90.00 90.28 90.00
Space group P2_1/c (No. 14)
Unique sites:
Li  0.0005  0.2499  0.2501
Hg  0.0000  0.0000  0.0000
Hg  0.4975  0.0000  0.7002
Pd  0.5003  0.2189  0.0000

(3)
## Li8HgPd2 (PBE)

Data for Li8HgPd2 after structural relaxation.

## Properties
energy relative to the lowest polymorph listed for this composition	0.00	eV/f.u.

Lattice parameters (Å, degrees): 14.1324 4.1117 6.2972 90.00 107.12 90.00
Space group C2/m (No. 12)
Unique sites:
Li  0.0504  0.0000  0.2357
Li  0.1092  0.5000  0.9665
Li  0.1486  0.0000  0.7129
Li  0.1864  0.5000  0.4149
Hg  0.0000  0.5000  0.5000
Pd  0.2247  0.0000  0.1476

(4)
## Li2Hg2Pd3 (PBE)

Data for Li2Hg2Pd3 after structural relaxation.

## Properties
energy relative to the lowest polymorph listed for this composition	0.00	eV/f.u.

Lattice parameters (Å, degrees): 4.4264 4.4271 7.5194 89.74 73.15 60.06
Space group P-1 (No. 2)
Unique sites:
Li  0.2218  0.3909  0.1630
Hg  0.2594  0.8685  0.6122
Pd  0.0000  0.0000  0.0000
Pd  0.4715  0.2619  0.7969

(5)
## LiHg3Pd (PBE)

Data for LiHg3Pd after structural relaxation.

## Properties
energy relative to the lowest polymorph listed for this composition	0.26	eV/f.u.

Lattice parameters (Å, degrees): 13.4745 14.0895 4.6839 90.00 110.26 90.00
Space group C2/c (No. 15)
Unique sites:
Li  0.2471  0.0782  0.4976
Hg  0.1204  0.4183  0.8701
Hg  0.1302  0.2567  0.3805
Hg  0.1314  0.0886  0.8813
Pd  0.0000  0.0843  0.2500
Pd  0.0000  0.2500  0.7500

(6)
## Li2Hg5Pd5 (PBE)

Data for Li2Hg5Pd5 after structural relaxation.

Lattice parameters (Å, degrees): 12.4879 4.0126 9.3692 90.00 115.84 90.00
Space group C2/m (No. 12)
Unique sites:
Li  0.0809  0.0000  0.2630
Hg  0.0000  0.0000  0.5000
Hg  0.1508  0.0000  0.9841
Hg  0.2370  0.5000  0.2605
Pd  0.0000  0.5000  0.0000
Pd  0.0839  0.5000  0.7464
Pd  0.1629  0.5000  0.4997

Number 1: calculated total energy -40.91 eV per cell. Number 2: calculated total energy -34.08 eV per cell. Number 3: calculated total energy -58.51 eV per cell. Number 4: calculated total energy -22.14 eV per cell. Number 5: calculated total energy -71.02 eV per cell. Number 6: calculated total energy -68.67 eV per cell.